Entry 1:
Crystalline CaHPt at its relaxed geometry, computed with GGA-PBE.

Properties
- Offset from the most stable computed form: 14 meV/atom
- Total magnetization: 0.000 μB/atom

Cell and atoms, written as POSCAR:
```
CaHPt
1.0
5.884 0.000 0.000
0.000 5.787 0.000
0.000 0.000 11.231
H Pt Ca
8 8 8
direct
0.795 0.313 0.811
0.295 0.187 0.189
0.705 0.813 0.811
0.705 0.687 0.311
0.295 0.313 0.689
0.205 0.813 0.689
0.795 0.187 0.311
0.205 0.687 0.189
0.411 0.371 0.086
0.911 0.129 0.914
0.089 0.629 0.586
0.089 0.871 0.086
0.589 0.629 0.914
0.589 0.871 0.414
0.411 0.129 0.586
0.911 0.371 0.414
0.580 0.610 0.639
0.080 0.610 0.861
0.420 0.390 0.361
0.920 0.110 0.639
0.420 0.110 0.861
0.920 0.390 0.139
0.080 0.890 0.361
0.580 0.890 0.139
```



Entry 2:
Crystalline Ca2H4Pt at its relaxed geometry, computed with GGA-PBE.

Properties
- Offset from the most stable computed form: 0 meV/atom
- Total magnetization: 0.000 μB/atom

Cell and atoms, written as POSCAR:
```
Ca2H4Pt
1.0
-4.620 -2.368 -0.238
1.470 -3.245 3.740
-2.523 4.448 4.851
Pt H Ca
2 8 4
direct
0.741 0.250 0.750
0.259 0.750 0.250
0.781 0.250 0.986
0.494 0.498 0.250
0.781 0.250 0.515
0.219 0.750 0.485
0.506 0.998 0.750
0.494 0.002 0.250
0.506 0.502 0.750
0.219 0.750 0.014
0.251 0.250 0.001
0.251 0.250 0.499
0.749 0.750 0.501
0.749 0.750 0.999
```



Entry 3:
Crystalline Ca2HPtRh at its relaxed geometry, computed with GGA-PBE.

Properties
- Offset from the most stable computed form: 0 meV/atom
- Total magnetization: 0.000 μB/atom

Cell and atoms, written as POSCAR:
```
Ca2HPtRh
1.0
4.894 0.000 0.000
0.000 4.894 0.000
0.000 0.000 3.576
Rh Pt H Ca
1 1 1 2
direct
0.000 0.000 0.500
0.500 0.500 0.500
0.000 0.000 0.000
0.500 0.000 0.000
0.000 0.500 0.000
```



Entry 4:
Crystalline Ca2H6PtRh at its relaxed geometry, computed with GGA-PBE.

Properties
- Total magnetization: 0.000 μB/atom
- Raw total energy: -4.33 eV per atom

Cell and atoms, written as POSCAR:
```
Ca2H6PtRh
1.0
5.169 0.001 0.001
0.001 5.169 0.001
-2.585 -2.585 3.770
H Rh Ca Pt
6 1 2 1
direct
0.755 0.756 0.002
0.246 0.755 0.000
0.236 0.237 0.474
0.764 0.764 0.525
0.754 0.246 0.000
0.244 0.245 0.998
0.000 0.000 0.000
0.750 0.250 0.500
0.250 0.750 0.500
0.500 0.500 0.000
```